No. 1
A relaxed structure of Pm6C2OF3, computed with PBE.

Cell: 6.264 10.998 6.523 Å, 90.00 107.32 90.00°
Space group C2/m (No. 12)
Symmetry-distinct sites (fractional):
Pm 0.233 0.000 0.218 (multiplicity 4)
Pm 0.234 0.334 0.218 (multiplicity 8)
C 0.000 0.167 0.000 (multiplicity 4)
O 0.000 0.500 0.000 (multiplicity 2)
F 0.000 0.000 0.500 (multiplicity 2)
F 0.000 0.292 0.500 (multiplicity 4)

**DFT total energy**: -6.667 eV/atom

No. 2
A relaxed structure of Ta2AsI, computed with PBE.

Cell: 6.658 6.658 6.658 Å, 90.00 90.00 90.00°
Space group Fm-3m (No. 225)
Symmetry-distinct sites (fractional):
Ta 0.250 0.250 0.250 (multiplicity 8)
As 0.000 0.000 0.000 (multiplicity 4)
I 0.000 0.000 0.500 (multiplicity 4)

**DFT total energy**: -7.046 eV/atom

No. 3
A relaxed structure of MnZnTe, computed with PBE.

Cell: 5.379 4.161 5.593 Å, 90.00 109.59 90.00°
Space group P2_1/m (No. 11)
Symmetry-distinct sites (fractional):
Mn 0.143 0.250 0.414 (multiplicity 2)
Zn 0.041 0.250 0.887 (multiplicity 2)
Te 0.396 0.750 0.718 (multiplicity 2)

**DFT total energy**: -4.484 eV/atom

No. 4
A relaxed structure of SiRh2Se, computed with PBE.

Cell: 4.159 3.005 5.201 Å, 90.00 113.39 90.00°
Space group P2/m (No. 10)
Symmetry-distinct sites (fractional):
Si 0.000 0.000 0.000 (multiplicity 1)
Rh 0.000 0.000 0.500 (multiplicity 1)
Rh 0.500 0.500 0.000 (multiplicity 1)
Se 0.500 0.500 0.500 (multiplicity 1)

**DFT total energy**: -6.117 eV/atom

No. 5
A relaxed structure of Y2InBi2, computed with PBE.

Cell: 8.573 8.573 4.128 Å, 90.00 90.00 90.00°
Space group P4/mbm (No. 127)
Symmetry-distinct sites (fractional):
Y 0.156 0.344 0.000 (multiplicity 4)
In 0.000 0.000 0.500 (multiplicity 2)
Bi 0.147 0.647 0.500 (multiplicity 4)

**DFT total energy**: -5.222 eV/atom

No. 6
A relaxed structure of LaMgW, computed with PBE.

Cell: 5.1865 5.1865 2.9168 Å, 90.00 90.00 120.00°
Space group P3m1 (No. 156)
Symmetry-distinct sites (fractional):
La 0.0000 0.0000 0.0000 (multiplicity 1)
Mg 0.3333 0.6667 0.4599 (multiplicity 1)
W 0.6667 0.3333 0.5274 (multiplicity 1)

**DFT total energy**: -5.838 eV/atom

No. 7
A relaxed structure of Nd3Th2PaN6, computed with PBE.

Cell: 6.294 10.909 6.280 Å, 90.00 109.50 90.00°
Space group C2/m (No. 12)
Symmetry-distinct sites (fractional):
Nd 0.000 0.000 0.000 (multiplicity 2)
Nd 0.000 0.334 0.000 (multiplicity 4)
Th 0.000 0.167 0.500 (multiplicity 4)
Pa 0.000 0.500 0.500 (multiplicity 2)
N 0.233 0.342 0.724 (multiplicity 8)
N 0.241 0.500 0.274 (multiplicity 4)

**DFT total energy**: -8.924 eV/atom

No. 8
A relaxed structure of Zr2TcRu, computed with PBE.

Cell: 3.289 3.289 6.637 Å, 90.00 90.00 90.00°
Space group P4mm (No. 99)
Symmetry-distinct sites (fractional):
Zr 0.000 0.000 0.000 (multiplicity 1)
Zr 0.500 0.500 0.295 (multiplicity 1)
Tc 0.500 0.500 0.764 (multiplicity 1)
Ru 0.000 0.000 0.530 (multiplicity 1)

**DFT total energy**: -9.211 eV/atom

No. 9
A relaxed structure of Ca2TmTeO6, computed with PBE.

Cell: 5.830 5.830 4.478 Å, 90.00 90.00 90.00°
Space group P4mm (No. 99)
Symmetry-distinct sites (fractional):
Ca 0.000 0.500 0.000 (multiplicity 2)
Tm 0.000 0.000 0.605 (multiplicity 1)
Te 0.500 0.500 0.620 (multiplicity 1)
O 0.000 0.000 0.136 (multiplicity 1)
O 0.260 0.260 0.708 (multiplicity 4)
O 0.500 0.500 0.184 (multiplicity 1)

**DFT total energy**: -6.477 eV/atom

No. 10
A relaxed structure of Mn2CuIr, computed with PBE.

Cell: 3.722 3.722 7.335 Å, 90.00 90.00 90.00°
Space group I4/mmm (No. 139)
Symmetry-distinct sites (fractional):
Mn 0.000 0.500 0.250 (multiplicity 4)
Cu 0.000 0.000 0.000 (multiplicity 2)
Ir 0.000 0.000 0.500 (multiplicity 2)

**DFT total energy**: -7.786 eV/atom

No. 11
A relaxed structure of TbPaCrN3, computed with PBE.

Cell: 7.236 3.299 7.295 Å, 90.00 99.42 90.00°
Space group P2_1/m (No. 11)
Symmetry-distinct sites (fractional):
Tb 0.194 0.250 0.164 (multiplicity 2)
Pa 0.185 0.250 0.654 (multiplicity 2)
Cr 0.420 0.750 0.911 (multiplicity 2)
N 0.132 0.750 0.421 (multiplicity 2)
N 0.145 0.750 0.883 (multiplicity 2)
N 0.453 0.750 0.183 (multiplicity 2)

**DFT total energy**: -9.287 eV/atom

No. 12
A relaxed structure of Sc2CoBr, computed with PBE.

Cell: 4.292 3.328 10.406 Å, 90.00 90.00 90.00°
Space group Amm2 (No. 38)
Symmetry-distinct sites (fractional):
Sc 0.000 0.000 0.000 (multiplicity 2)
Sc 0.500 0.000 0.292 (multiplicity 2)
Co 0.000 0.000 0.767 (multiplicity 2)
Br 0.500 0.000 0.565 (multiplicity 2)

**DFT total energy**: -5.692 eV/atom